No. 1
The following is a DFT calculation (SCAN) of a PBEsol-optimized structure of CaCoH2.

```
CaCoH2
1.0
3.933 0.000 0.000
1.967 3.406 0.000
1.967 1.135 3.212
H Ca Co
2 1 1
direct
0.250 0.250 0.250
0.750 0.750 0.750
0.000 0.000 0.000
0.500 0.500 0.500
```

Summary:
Calculated total energy ... -32.54 eV per cell

No. 2
The following is a DFT calculation (SCAN) of a PBEsol-optimized structure of SrInSb2.

```
SrInSb2
1.0
-0.601 3.447 -0.039
-5.358 -0.954 -1.683
-1.669 -0.232 5.443
In Sb Sr
1 2 1
direct
0.376 0.500 0.875
0.874 0.000 0.874
0.875 0.500 0.376
0.375 0.000 0.374
```

Summary:
Calculated total energy ... -131.73 eV per cell

No. 3
The following is a DFT calculation (SCAN) of a PBEsol-optimized structure of ZrTc2Rh.

```
ZrTc2Rh
1.0
-0.084 -3.035 -2.317
3.037 -1.518 1.879
-4.059 0.350 2.837
Rh Tc Zr
1 2 1
direct
0.000 0.500 0.000
0.751 0.751 0.502
0.249 0.249 0.498
0.500 0.000 0.000
```

Summary:
Energy relative to the elements ... -0.12 eV/atom
Calculated total energy ... -135.08 eV per cell

No. 4
The following is a DFT calculation (SCAN) of a PBEsol-optimized structure of Na2CdGeBr.

```
Na2CdGeBr
1.0
5.099 0.000 0.000
0.000 5.099 0.000
0.000 0.000 5.786
Na Ge Br Cd
2 1 1 1
direct
0.000 0.500 0.000
0.500 0.000 0.000
0.500 0.500 0.500
0.000 0.000 0.000
0.000 0.000 0.500
```

Summary:
Calculated total energy ... -77.57 eV per cell

No. 5
The following is a DFT calculation (SCAN) of a PBEsol-optimized structure of KMo2Br.

```
KMo2Br
1.0
4.629 0.000 0.000
2.315 4.009 0.000
2.315 1.336 3.780
Mo K Br
2 1 1
direct
0.250 0.250 0.250
0.750 0.750 0.750
0.000 0.000 0.000
0.500 0.500 0.500
```

Summary:
Calculated total energy ... -88.82 eV per cell

No. 6
The following is a DFT calculation (SCAN) of a PBEsol-optimized structure of Co3SiH.

```
Co3SiH
1.0
-3.885 2.318 -1.748
1.233 -4.449 -1.911
-2.762 -3.852 1.030
H Si Co
2 2 6
direct
0.500 0.000 0.500
0.000 0.000 0.000
0.250 0.500 0.250
0.750 0.500 0.750
0.200 0.000 0.700
0.300 0.000 0.200
0.700 0.000 0.800
0.750 0.500 0.250
0.800 0.000 0.300
0.250 0.500 0.750
```

Summary:
Calculated total energy ... -132.63 eV per cell